DFT (GGA+U) results for VAgNF2 after structural relaxation.

Geometry as POSCAR:
```
VAgNF2
1.0
4.411 0.000 0.000
0.000 4.411 0.000
0.000 0.000 3.965
Ag N F V
1 1 2 1
Direct
0.000 0.000 0.000
0.000 0.000 0.500
0.500 0.000 0.000
0.000 0.500 0.000
0.500 0.500 0.500
```

Summary:
DOS at the Fermi energy (states/eV/cell): 8.0
Symmetry: P4/mmm, No. 123
Offset from the most stable computed form (eV per atom): 1.2864